Density functional theory data (PBE) for an optimized crystal structure of BaZnAg4.

Energy above the most stable polymorph in this dataset, meV per atom: 0
Fermi-level density of states, states/eV per atom: 1.010
Total magnetic moment, μB per formula unit: 0.00
Energy of formation, eV/atom: -0.050

```
data_BaZnAg4
_chemical_formula_sum 'Ba4 Zn4 Ag16'
_cell_length_a 8.164
_cell_length_b 8.164
_cell_length_c 8.164
_cell_angle_alpha 90.00
_cell_angle_beta 90.00
_cell_angle_gamma 90.00
_symmetry_space_group_name_H-M 'F -4 3 m'
_symmetry_Int_Tables_number 216
_symmetry_space_group_name_Hall 'F -4 2 3'
loop_
_atom_site_label
_atom_site_type_symbol
_atom_site_fract_x
_atom_site_fract_y
_atom_site_fract_z
Ba1 Ba 0.000 0.000 0.000
Zn1 Zn 0.250 0.250 0.750
Ag1 Ag 0.124 0.124 0.376
```